Material: CoSnSb2
Method: DFT, PBE
State: optimized geometry

POSCAR file:
```
CoSnSb2
1.0
0.0000 3.5415 3.5415
3.5415 0.0000 3.5415
3.5415 3.5415 0.0000
Co Sn Sb
1 1 2
Direct
0.0000 0.0000 0.0000 Co
0.7500 0.7500 0.7500 Sn
0.2500 0.2500 0.2500 Sb
0.5000 0.5000 0.5000 Sb
```

Output
space group = No. 216
V = 22.2 Å³/atom
E = -17.2 eV per cell